Record 1
DFT (PBE) results for crystalline Fe2OsPb at its relaxed geometry.

Calculated values
* electronic total energy: -7.3530 eV per atom
* symmetry: Pmm2

Lattice parameters (Å, degrees): 4.3039 2.9048 4.9478 89.98 90.00 90.00
With the nearest neighbours (Å) after each atom.
Element x y z (fractional)
Fe1 0.0000 0.1250 0.0045  2 Fe 2.54, 2 Os 2.54-2.55, 4 Pb 2.80
Fe2 0.5000 0.1247 0.2786  2 Fe 2.54, 4 Os 2.70, 2 Pb 2.82
Os1 0.0000 0.6249 0.4268  6 Fe 2.54-2.70, 2 Pb 2.80
Pb1 0.5000 0.6254 0.7902  8 Fe 2.80-2.92, 2 Os 2.80, 2 Pb 2.90


Record 2
DFT (PBE) results for crystalline CaPmPrEr at its relaxed geometry.

Calculated values
* symmetry: P4mm
* distance to the lowest polymorph of the same formula: 0.0000 eV per atom

Lattice parameters (Å, degrees): 3.6630 3.6630 10.5107 90.00 90.00 90.00
With the nearest neighbours (Å) after each atom.
Element x y z (fractional)
Ca1 0.0000 0.0000 0.0689  4 Ca 3.66, 4 Pm 3.80, 4 Pr 3.83
Pm1 0.5000 0.5000 0.8042  4 Er 3.55, 4 Pm 3.66, 4 Ca 3.80
Pr1 0.5000 0.5000 0.3378  4 Er 3.59, 4 Pr 3.66, 4 Ca 3.83
Er1 0.0000 0.0000 0.5738  4 Pm 3.55, 4 Pr 3.59, 4 Er 3.66


Record 3
DFT (PBE) results for crystalline Ce3Pr4YS8 at its relaxed geometry.

Calculated values
* E_form (uncorrected): -46.83 kcal/mol of atoms
* symmetry: R-3m

Lattice parameters (Å, degrees): 8.1080 8.1027 8.1080 120.02 120.00 90.00
With the nearest neighbours (Å) after each atom.
Element x y z (fractional)
Ce1 0.5000 0.5000 0.0000  6 S 2.84
Ce2 0.5000 0.5000 0.5000  6 S 2.84
Ce3 0.0000 0.5000 0.5000  6 S 2.84
Pr1 0.5000 0.0000 0.0000  6 S 2.93
Pr2 0.5000 0.0000 0.5000  6 S 2.89
Pr3 0.0000 0.0000 0.0000  6 S 2.89
Pr4 0.0000 0.0000 0.5000  6 S 2.89
Y1 0.0000 0.5000 0.0000  6 S 2.80
S1 0.2443 0.7396 0.9953  1 Y 2.80, 2 Ce 2.84, 3 Pr 2.89-2.93
S2 0.2442 0.7396 0.4885  1 Y 2.80, 2 Ce 2.84, 3 Pr 2.89-2.93
S3 0.2521 0.2564 0.5043  3 Ce 2.84, 3 Pr 2.89
S4 0.7511 0.7396 0.9953  1 Y 2.80, 2 Ce 2.84, 3 Pr 2.89-2.93
S5 0.2489 0.2604 0.0047  1 Y 2.80, 2 Ce 2.84, 3 Pr 2.89-2.93
S6 0.7479 0.7436 0.4957  3 Ce 2.84, 3 Pr 2.89
S7 0.7558 0.2604 0.5115  1 Y 2.80, 2 Ce 2.84, 3 Pr 2.89-2.93
S8 0.7557 0.2604 0.0047  1 Y 2.80, 2 Ce 2.84, 3 Pr 2.89-2.93


Record 4
DFT (PBE) results for crystalline CoH4Rh2 at its relaxed geometry.

Calculated values
* electronic total energy: -4.8679 eV per atom
* symmetry: R-3m

Lattice parameters (Å, degrees): 2.8102 2.8102 8.0517 79.95 79.95 60.00
With the nearest neighbours (Å) after each atom.
Element x y z (fractional)
Co1 0.5000 0.5000 0.5000  6 H 2.10
H1 0.6947 0.6947 0.9159  3 Rh 1.80
H2 0.8896 0.8896 0.3312  3 Rh 2.00, 3 Co 2.10
H3 0.3053 0.3053 0.0841  3 Rh 1.80
H4 0.1104 0.1104 0.6688  3 Rh 2.00, 3 Co 2.10
Rh1 0.6054 0.6054 0.1838  6 H 1.80-2.00
Rh2 0.3946 0.3946 0.8162  6 H 1.80-2.00


Number 1: mass density 13.67 Mg/m³. Number 2: mass density 5.81 Mg/m³. Number 3: mass density 5.86 Mg/m³. Number 4: mass density 8.27 Mg/m³.